Record 1
{
  "formula": "MgRe4Pt",
  "functional": "PBE",
  "state": "relaxed",
  "lattice": [[3.055, 1.210, 4.030], [-0.960, -2.028, 4.690], [3.209, -3.572, 1.994]],
  "species": ["Mg", "Re", "Re", "Re", "Re", "Pt"],
  "fractional_positions": [[0.750, 0.750, 0.750], [0.876, 0.375, 0.375], [0.375, 0.375, 0.876], [0.375, 0.876, 0.375], [0.375, 0.375, 0.375], [0.000, 0.000, 0.000]]
}

---

Record 2
{
  "formula": "Mg4RePt",
  "functional": "PBE",
  "state": "relaxed",
  "lattice": [[0.000, 3.731, 3.731], [3.731, 0.000, 3.731], [3.731, 3.731, 0.000]],
  "species": ["Mg", "Mg", "Mg", "Mg", "Re", "Pt"],
  "fractional_positions": [[0.877, 0.374, 0.374], [0.374, 0.374, 0.877], [0.374, 0.877, 0.374], [0.374, 0.374, 0.374], [0.000, 0.000, 0.000], [0.750, 0.750, 0.750]]
}

---

Record 3
{
  "formula": "MgRePt2",
  "functional": "PBE",
  "state": "relaxed",
  "lattice": [[-8.147, -2.462, -3.695], [-6.487, -3.031, -5.902], [-6.831, -4.949, -3.865]],
  "species": ["Mg", "Pt", "Pt", "Re"],
  "fractional_positions": [[0.749, 0.749, 0.749], [0.002, 0.002, 0.002], [0.247, 0.247, 0.247], [0.502, 0.502, 0.502]]
}

---

Record 4
{
  "formula": "Mg2RePt",
  "functional": "PBE",
  "state": "relaxed",
  "lattice": [[-9.137, 1.445, 0.362], [-9.156, -1.351, -0.229], [-8.908, -0.464, 2.477]],
  "species": ["Mg", "Mg", "Pt", "Re"],
  "fractional_positions": [[0.998, 0.998, 0.998], [0.502, 0.502, 0.502], [0.250, 0.250, 0.250], [0.750, 0.750, 0.750]],
  "de_polymorph_mev_per_atom": 68
}

---

Record 5
{
  "formula": "MgRePt",
  "functional": "PBE",
  "state": "relaxed",
  "lattice": [[-6.097, 1.968, 0.678], [-5.827, 1.786, -2.091], [-1.412, -2.405, 0.020]],
  "species": ["Mg", "Pt", "Re"],
  "fractional_positions": [[0.997, 0.997, 0.003], [0.328, 0.328, 0.672], [0.675, 0.675, 0.325]],
  "de_polymorph_mev_per_atom": 0
}

---

Record 6
{
  "formula": "Mg2RePt",
  "functional": "PBE",
  "state": "relaxed",
  "lattice": [[5.065, 0.008, 0.000], [-1.863, 4.710, 0.000], [0.000, 0.000, 2.712]],
  "species": ["Mg", "Mg", "Pt", "Re"],
  "fractional_positions": [[0.000, 0.000, 0.000], [0.500, 0.500, 0.000], [0.500, 0.000, 0.500], [0.000, 0.500, 0.500]],
  "de_polymorph_mev_per_atom": 112
}

---

Record 7
{
  "formula": "MgRePt",
  "functional": "PBE",
  "state": "relaxed",
  "lattice": [[-2.510, -1.839, 2.925], [1.587, -3.000, 2.593], [0.577, 0.848, 4.146]],
  "species": ["Mg", "Pt", "Re"],
  "fractional_positions": [[0.500, 0.500, 0.500], [0.750, 0.750, 0.750], [0.000, 0.000, 0.000]],
  "de_polymorph_mev_per_atom": 402
}

---

Record 8
{
  "formula": "MgRePt2",
  "functional": "PBE",
  "state": "relaxed",
  "lattice": [[2.800, 0.000, 0.000], [0.000, 4.841, 0.000], [0.000, 0.000, 4.655]],
  "species": ["Mg", "Pt", "Pt", "Re"],
  "fractional_positions": [[0.000, 0.500, 0.500], [0.000, 0.000, 0.000], [0.500, 0.500, 0.000], [0.500, 0.000, 0.500]]
}

---

Formation energy from the elements (computed, meV per atom): 367; 510; -98; -99; -108; -54; 295; 47